Entry from the Alexandria database: an optimized crystal structure of ThGaGe (PBE).

N(E_F), states/eV/f.u.: 1.8
Total DFT energy (no corrections), eV per atom: -5.293
Crystal system: tetragonal

a b c (Å): 4.200 4.200 5.157
angles (deg): 114.03 114.03 90.00
Element x y z (fractional)
Ge  0.264  0.264  0.527
Ga  0.968  0.968  0.937
Th  0.618  0.618  0.236



Entry from the Alexandria database: an optimized crystal structure of Ta2HgW (PBE).

N(E_F), states/eV/f.u.: 2.5
Total DFT energy (no corrections), eV per atom: -8.842
Crystal system: monoclinic

a b c (Å): 5.091 5.091 5.259
angles (deg): 83.25 83.25 32.60
Element x y z (fractional)
Hg  0.249  0.249  0.247
Ta  0.750  0.750  0.744
Ta  0.997  0.997  0.000
W  0.504  0.504  0.509



Entry from the Alexandria database: an optimized crystal structure of B4Os (PBE).

N(E_F), states/eV/f.u.: 0.9
Total DFT energy (no corrections), eV per atom: -5.889
Crystal system: cubic

a b c (Å): 4.092 4.092 4.092
angles (deg): 90.00 90.00 90.00
Element x y z (fractional)
B  0.000  0.500  0.500
B  0.500  0.000  0.500
B  0.500  0.500  0.000
B  0.000  0.000  0.000
Os  0.500  0.500  0.500



Entry from the Alexandria database: an optimized crystal structure of Dy2TmGa (PBE).

N(E_F), states/eV/f.u.: 5.6
Total DFT energy (no corrections), eV per atom: -4.416
Crystal system: tetragonal

a b c (Å): 4.694 4.701 4.701
angles (deg): 90.00 90.00 90.00
Element x y z (fractional)
Dy  0.000  0.500  0.000
Ga  0.500  0.000  0.000
Tm  0.500  0.500  0.500
Dy  0.000  0.000  0.500



Entry from the Alexandria database: an optimized crystal structure of KDyC2O6 (PBE).

N(E_F), states/eV/f.u.: 0.0
Total DFT energy (no corrections), eV per atom: -7.549
Crystal system: monoclinic

a b c (Å): 6.419 6.419 7.062
angles (deg): 76.71 76.71 97.32
Element x y z (fractional)
O  0.258  0.207  0.877
C  0.603  0.857  0.251
O  0.700  0.466  0.899
O  0.466  0.700  0.399
O  0.793  0.742  0.623
K  0.881  0.119  0.750
O  0.300  0.534  0.101
O  0.409  0.943  0.767
O  0.207  0.258  0.377
K  0.119  0.881  0.250
O  0.742  0.793  0.123
C  0.397  0.143  0.749
Dy  0.408  0.592  0.750
C  0.857  0.603  0.751
O  0.057  0.591  0.733
O  0.943  0.409  0.267
Dy  0.592  0.408  0.250
C  0.143  0.397  0.249
O  0.534  0.300  0.601
O  0.591  0.057  0.233



Entry from the Alexandria database: an optimized crystal structure of Ho4Cd5Co2 (PBE).

N(E_F), states/eV/f.u.: 7.8
Total DFT energy (no corrections), eV per atom: -3.649
Crystal system: monoclinic

a b c (Å): 3.567 7.618 9.304
angles (deg): 94.51 90.00 90.00
Element x y z (fractional)
Co  0.000  0.069  0.633
Ho  0.500  0.169  0.837
Co  0.000  0.931  0.367
Cd  0.000  0.822  0.852
Ho  0.500  0.790  0.557
Ho  0.500  0.831  0.163
Cd  0.000  0.549  0.331
Cd  0.000  0.178  0.148
Cd  0.000  0.451  0.669
Cd  0.000  0.500  0.000
Ho  0.500  0.210  0.443



Entry from the Alexandria database: an optimized crystal structure of Tm4FeAg (PBE).

N(E_F), states/eV/f.u.: 6.3
Total DFT energy (no corrections), eV per atom: -5.011
Crystal system: monoclinic

a b c (Å): 5.989 7.385 7.385
angles (deg): 111.13 98.72 98.72
Element x y z (fractional)
Tm  0.095  0.366  0.207
Fe  0.250  0.999  0.001
Tm  0.405  0.793  0.634
Fe  0.750  0.001  0.999
Ag  0.750  0.629  0.371
Tm  0.460  0.731  0.064
Tm  0.595  0.207  0.366
Tm  0.905  0.634  0.793
Tm  0.960  0.064  0.731
Tm  0.040  0.936  0.269
Ag  0.250  0.371  0.629
Tm  0.540  0.269  0.936



Entry from the Alexandria database: an optimized crystal structure of YFePCl2 (PBE).

N(E_F), states/eV/f.u.: 6.1
Total DFT energy (no corrections), eV per atom: -5.036
Crystal system: tetragonal

a b c (Å): 5.094 5.094 5.676
angles (deg): 90.00 90.00 90.00
Site moments in Bohr magnetons follow the coordinates.
Element x y z (fractional)
Cl  0.500  0.000  0.000  0.01
Y  0.000  0.000  0.000  0.01
P  0.000  0.000  0.500  -0.01
Cl  0.000  0.500  0.000  0.01
Fe  0.500  0.500  0.500  3.46



Entry from the Alexandria database: an optimized crystal structure of ZrAsIr (PBE).

N(E_F), states/eV/f.u.: 2.1
Total DFT energy (no corrections), eV per atom: -7.770
Crystal system: tetragonal

a b c (Å): 5.468 5.468 3.275
angles (deg): 72.58 72.57 34.85
Element x y z (fractional)
As  0.011  0.011  0.989
Ir  0.663  0.663  0.337
Zr  0.326  0.326  0.674



Entry from the Alexandria database: an optimized crystal structure of Rb2GeSBr6 (PBE).

N(E_F), states/eV/f.u.: 0.2
Total DFT energy (no corrections), eV per atom: -2.860
Crystal system: tetragonal

a b c (Å): 7.397 7.397 8.247
angles (deg): 63.35 63.35 90.00
Element x y z (fractional)
Br  0.741  0.259  0.000
Br  0.259  0.741  0.000
Br  0.787  0.787  0.426
Br  0.741  0.741  0.000
Rb  0.750  0.250  0.500
Ge  0.000  0.000  0.000
Br  0.259  0.259  0.000
Rb  0.250  0.750  0.500
Br  0.213  0.213  0.574
S  0.500  0.500  0.000



Entry from the Alexandria database: an optimized crystal structure of K2HgPb (PBE).

N(E_F), states/eV/f.u.: 2.4
Total DFT energy (no corrections), eV per atom: -1.632
Crystal system: monoclinic

a b c (Å): 5.340 3.913 8.093
angles (deg): 59.90 90.00 90.00
Element x y z (fractional)
K  0.000  0.497  0.497
Pb  0.500  0.250  0.250
K  0.000  0.003  0.003
Hg  0.500  0.750  0.750



Entry from the Alexandria database: an optimized crystal structure of Li8Ag2Ge3 (PBE).

N(E_F), states/eV/f.u.: 3.9
Total DFT energy (no corrections), eV per atom: -2.792
Crystal system: trigonal

a b c (Å): 5.166 5.166 9.822
angles (deg): 74.75 74.75 60.00
Element x y z (fractional)
Ag  0.365  0.365  0.905
Li  0.220  0.726  0.328
Li  0.726  0.726  0.328
Li  0.724  0.724  0.829
Ge  0.816  0.816  0.551
Li  0.274  0.780  0.672
Li  0.780  0.274  0.672
Li  0.276  0.276  0.171
Li  0.726  0.220  0.328
Li  0.274  0.274  0.672
Ge  0.184  0.184  0.449
Ge  0.000  0.000  0.000
Ag  0.635  0.635  0.095



Entry from the Alexandria database: an optimized crystal structure of RbBaTl2 (PBE).

N(E_F), states/eV/f.u.: 5.1
Total DFT energy (no corrections), eV per atom: -2.067
Crystal system: cubic

a b c (Å): 6.136 6.136 6.136
angles (deg): 60.00 60.00 60.00
Element x y z (fractional)
Rb  0.000  0.000  0.000
Tl  0.250  0.250  0.250
Tl  0.750  0.750  0.750
Ba  0.500  0.500  0.500



Entry from the Alexandria database: an optimized crystal structure of Rb2Cu3PdF12 (PBE).

N(E_F), states/eV/f.u.: 1.9
Total DFT energy (no corrections), eV per atom: -4.141
Crystal system: trigonal

a b c (Å): 7.764 7.764 7.764
angles (deg): 54.47 54.47 54.47
Site moments in Bohr magnetons follow the coordinates.
Element x y z (fractional)
F  0.078  0.678  0.078  0.00
Cu  0.500  0.000  0.000  0.72
Rb  0.613  0.613  0.613  0.00
Rb  0.387  0.387  0.387  0.00
F  0.678  0.678  0.079  0.13
F  0.322  0.922  0.922  0.00
F  0.678  0.079  0.678  0.13
Cu  0.000  0.500  0.000  0.72
F  0.678  0.078  0.078  0.00
F  0.921  0.322  0.322  0.13
Pd  0.000  0.000  0.000  -0.06
F  0.922  0.322  0.922  0.00
F  0.079  0.678  0.678  0.13
F  0.922  0.922  0.322  0.00
F  0.322  0.921  0.322  0.13
Cu  0.000  0.000  0.500  0.72
F  0.078  0.078  0.678  0.00
F  0.322  0.322  0.921  0.13



Entry from the Alexandria database: an optimized crystal structure of Ca3Nb3CrN8 (PBE).

N(E_F), states/eV/f.u.: 5.1
Total DFT energy (no corrections), eV per atom: -8.424
Crystal system: trigonal

a b c (Å): 6.258 6.258 6.664
angles (deg): 118.01 90.00 120.00
Site moments in Bohr magnetons follow the coordinates.
Element x y z (fractional)
Ca  0.000  0.000  0.000  0.01
Cr  0.000  0.000  0.500  2.27
N  0.769  0.033  0.301  -0.01
Ca  0.000  0.500  0.000  0.01
N  0.231  0.967  0.699  -0.01
Ca  0.500  0.500  0.000  0.01
N  0.769  0.537  0.301  -0.01
N  0.261  0.521  0.282  0.00
Nb  0.000  0.500  0.500  0.07
N  0.736  0.967  0.699  -0.01
N  0.231  0.463  0.699  -0.01
N  0.264  0.033  0.301  -0.01
N  0.739  0.479  0.718  0.00
Nb  0.500  0.000  0.500  0.08
Nb  0.500  0.500  0.500  0.07



Entry from the Alexandria database: an optimized crystal structure of K2Ta2CrSe6 (PBE).

N(E_F), states/eV/f.u.: 1.6
Total DFT energy (no corrections), eV per atom: -5.973
Crystal system: monoclinic

a b c (Å): 6.333 6.333 8.277
angles (deg): 96.11 96.11 120.09
Site moments in Bohr magnetons follow the coordinates.
Element x y z (fractional)
Ta  0.366  0.634  0.500  -0.18
Se  0.250  0.250  0.287  -0.03
Se  0.043  0.380  0.677  -0.03
Se  0.957  0.620  0.323  -0.03
Ta  0.634  0.366  0.500  -0.18
Se  0.750  0.750  0.713  -0.03
Se  0.620  0.957  0.323  -0.03
K  0.818  0.182  0.000  0.00
K  0.182  0.818  0.000  0.00
Cr  0.000  0.000  0.500  2.52
Se  0.380  0.043  0.677  -0.03



Entry from the Alexandria database: an optimized crystal structure of UTl2SnSe5 (PBE).

N(E_F), states/eV/f.u.: 4.0
Total DFT energy (no corrections), eV per atom: -4.779
Crystal system: orthorhombic

a b c (Å): 4.320 9.744 14.126
angles (deg): 90.00 90.00 102.81
Site moments in Bohr magnetons follow the coordinates.
Element x y z (fractional)
Se  0.710  0.420  0.156  -0.07
Se  0.947  0.895  0.542  -0.01
Se  0.653  0.305  0.507  -0.07
Se  0.507  0.015  0.272  0.01
Se  0.693  0.386  0.894  -0.05
Se  0.493  0.985  0.772  0.01
Tl  0.129  0.259  0.325  -0.01
Se  0.307  0.614  0.394  -0.05
Se  0.347  0.695  0.007  -0.07
U  0.791  0.582  0.531  1.80
Sn  0.555  0.109  0.928  0.02
Sn  0.445  0.891  0.428  0.02
Tl  0.882  0.763  0.168  -0.01
Se  0.053  0.105  0.042  -0.01
Se  0.290  0.580  0.656  -0.07
U  0.209  0.418  0.031  1.80
Tl  0.118  0.237  0.668  -0.01
Tl  0.871  0.741  0.825  -0.01



Entry from the Alexandria database: an optimized crystal structure of NbCu2Pt2 (PBE).

N(E_F), states/eV/f.u.: 5.9
Total DFT energy (no corrections), eV per atom: -6.183
Crystal system: tetragonal

a b c (Å): 7.308 7.308 2.826
angles (deg): 90.00 90.00 90.00
Element x y z (fractional)
Pt  0.865  0.635  0.000
Nb  0.500  0.500  0.000
Pt  0.365  0.865  0.000
Cu  0.163  0.663  0.500
Cu  0.663  0.837  0.500
Cu  0.837  0.337  0.500
Pt  0.135  0.365  0.000
Nb  0.000  0.000  0.000
Pt  0.635  0.135  0.000
Cu  0.337  0.163  0.500



Entry from the Alexandria database: an optimized crystal structure of MnNiCl2 (PBE).

N(E_F), states/eV/f.u.: 0.8
Total DFT energy (no corrections), eV per atom: -4.814
Crystal system: tetragonal

a b c (Å): 4.938 4.938 7.155
angles (deg): 69.81 69.81 90.00
Site moments in Bohr magnetons follow the coordinates.
Element x y z (fractional)
Ni  0.750  0.250  0.500  0.56
Cl  0.105  0.625  0.250  0.07
Cl  0.875  0.895  0.750  0.07
Cl  0.375  0.355  0.750  0.07
Mn  0.250  0.750  0.500  4.06
Ni  0.000  0.000  0.000  0.56
Mn  0.500  0.500  0.000  4.06
Cl  0.645  0.125  0.250  0.07



Entry from the Alexandria database: an optimized crystal structure of Na2Y2IrO6 (PBE).

N(E_F), states/eV/f.u.: 6.9
Total DFT energy (no corrections), eV per atom: -7.068
Crystal system: monoclinic

a b c (Å): 5.746 5.746 5.896
angles (deg): 97.38 97.38 120.16
Site moments in Bohr magnetons follow the coordinates.
Element x y z (fractional)
O  0.354  0.041  0.693  0.06
Na  0.145  0.855  0.000  0.00
O  0.750  0.750  0.705  0.03
Ir  0.000  0.000  0.500  0.66
O  0.646  0.959  0.307  0.06
Na  0.855  0.145  0.000  0.00
O  0.959  0.646  0.307  0.06
O  0.041  0.354  0.693  0.06
Y  0.662  0.338  0.500  0.01
Y  0.338  0.662  0.500  0.01
O  0.250  0.250  0.295  0.03



Entry from the Alexandria database: an optimized crystal structure of BaScNF2 (PBE).

Total DFT energy (no corrections), eV per atom: -6.687
Crystal system: tetragonal

a b c (Å): 4.286 4.286 4.282
angles (deg): 90.00 90.00 90.00
Element x y z (fractional)
Sc  0.000  0.000  0.000
F  0.000  0.500  0.000
Ba  0.500  0.500  0.500
N  0.000  0.000  0.500
F  0.500  0.000  0.000



Entry from the Alexandria database: an optimized crystal structure of SrBeZnAu3 (PBE).

N(E_F), states/eV/f.u.: 2.0
Total DFT energy (no corrections), eV per atom: -3.114
Crystal system: orthorhombic

a b c (Å): 6.049 6.562 7.138
angles (deg): 117.36 90.00 90.00
Element x y z (fractional)
Sr  0.750  0.272  0.543
Au  0.750  0.824  0.647
Au  0.500  0.732  0.000
Au  0.000  0.268  0.000
Sr  0.250  0.728  0.457
Au  0.000  0.732  0.000
Zn  0.750  0.623  0.246
Zn  0.250  0.377  0.754
Au  0.250  0.176  0.353
Au  0.500  0.268  0.000
Be  0.750  0.007  0.013
Be  0.250  0.993  0.987



Entry from the Alexandria database: an optimized crystal structure of ScZnBr2 (PBE).

N(E_F), states/eV/f.u.: 4.4
Total DFT energy (no corrections), eV per atom: -3.080
Crystal system: trigonal

a b c (Å): 9.016 9.016 9.016
angles (deg): 24.31 24.31 24.31
Element x y z (fractional)
Br  0.099  0.099  0.099
Sc  0.000  0.000  0.000
Zn  0.500  0.500  0.500
Br  0.901  0.901  0.901